This record from Alexandria via LeMat-Bulk describes Fe2PPt at its PBEsol-relaxed geometry. The functional is meta-GGA SCAN.

Properties
Energy of formation from the pure elements, eV/atom: -0.1852

a = 2.818 Å, b = 4.217 Å, c = 4.767 Å
α = 116.25°, β = 107.19°, γ = 90.00°
Last column: magnetic moment on the atom in μB.
Sites, in units of the cell vectors:
Fe: 0.784 0.784 0.568  2.42
Fe: 0.216 0.216 0.432  2.42
P: 0.500 0.000 0.000  -0.08
Pt: 0.000 0.500 0.000  0.17

=====

This record from Alexandria via LeMat-Bulk describes FePPt3 at its PBEsol-relaxed geometry. The functional is meta-GGA SCAN.

Properties
Energy of formation from the pure elements, eV/atom: 1.2265

a = 4.499 Å, b = 4.499 Å, c = 4.499 Å
α = 90.00°, β = 90.00°, γ = 90.00°
Last column: magnetic moment on the atom in μB.
Sites, in units of the cell vectors:
P: 0.500 0.500 0.500  0.05
Fe: 0.000 0.000 0.000  2.77
Pt: 0.000 0.500 0.000  0.31
Pt: 0.000 0.000 0.500  0.31
Pt: 0.500 0.000 0.000  0.31

=====

Question: Which of these has the lowest energy of formation from the pure elements?
Answer: Fe2PPt

=====

Question: The lowest energy of formation from the pure elements belongs to which entry?
Answer: Fe2PPt

=====

Question: Among the records above, which one has the highest energy of formation from the pure elements?
Answer: FePPt3